Computed, not measured: a PBEsol-optimized structure of ZrClF2 at the meta-GGA SCAN level of DFT.

POSCAR file:
```
ZrClF2
1.0
-2.092 2.092 7.089
2.092 -2.092 7.089
2.092 2.092 -7.089
Zr Cl F
2 2 4
Direct
0.000 0.000 0.000
0.750 0.250 0.500
0.250 0.750 0.500
0.500 0.500 0.000
0.375 0.213 0.338
0.787 0.125 0.162
0.875 0.037 0.662
0.963 0.625 0.838
```

Calculated values
As for the formation energy (no corrections): -2.64 eV per atom. As for the symmetry: No. 122.

***

Computed, not measured: a PBEsol-optimized structure of BaCdIr at the meta-GGA SCAN level of DFT.

POSCAR file:
```
BaCdIr
1.0
0.000 3.578 3.578
3.578 0.000 3.578
3.578 3.578 0.000
Ba Cd Ir
1 1 1
Direct
0.000 0.000 0.000
0.750 0.750 0.750
0.250 0.250 0.250
```

Calculated values
As for the symmetry: No. 216. For the formation energy, the calculation gives 965 meV per atom.

***

Computed, not measured: a PBEsol-optimized structure of Y3AuO at the meta-GGA SCAN level of DFT.

POSCAR file:
```
Y3AuO
1.0
4.644 0.000 0.000
0.000 4.644 0.000
0.000 0.000 4.644
Y Au O
3 1 1
Direct
0.000 0.000 0.500
0.000 0.500 0.000
0.500 0.000 0.000
0.500 0.500 0.500
0.000 0.000 0.000
```

Calculated values
As for the formation energy (no corrections): -1.73 eV per atom. As for the symmetry: No. 221.

***

Computed, not measured: a PBEsol-optimized structure of TlSiSb2 at the meta-GGA SCAN level of DFT.

POSCAR file:
```
TlSiSb2
1.0
5.052 0.000 0.000
0.000 5.052 0.000
0.000 0.000 3.763
Tl Si Sb
1 1 2
Direct
0.000 0.000 0.000
0.500 0.500 0.000
0.000 0.500 0.500
0.500 0.000 0.500
```

Calculated values
As for the formation energy (no corrections): 0.53 eV per atom. As for the symmetry: No. 123.

***

Computed, not measured: a PBEsol-optimized structure of AlCdIr2 at the meta-GGA SCAN level of DFT.

POSCAR file:
```
AlCdIr2
1.0
2.798 0.000 0.000
0.000 2.798 0.000
0.000 0.000 7.997
Al Cd Ir
1 1 2
Direct
0.000 0.000 0.000
0.500 0.500 0.299
0.000 0.000 0.561
0.500 0.500 0.793
```

Calculated values
As for the symmetry: No. 99. For the formation energy, the calculation gives -94 meV per atom.

***

Computed, not measured: a PBEsol-optimized structure of NaSr3Zn at the meta-GGA SCAN level of DFT.

POSCAR file:
```
NaSr3Zn
1.0
6.124 0.000 0.000
0.000 6.124 0.000
0.000 0.000 6.124
Na Sr Zn
1 3 1
Direct
0.000 0.000 0.000
0.000 0.500 0.500
0.500 0.000 0.500
0.500 0.500 0.000
0.500 0.500 0.500
```

Calculated values
As for the symmetry: No. 221. For the formation energy, the calculation gives -18 meV per atom.

***

Computed, not measured: a PBEsol-optimized structure of Li2AlCd at the meta-GGA SCAN level of DFT.

POSCAR file:
```
Li2AlCd
1.0
2.905 0.000 0.000
0.000 4.584 0.000
0.000 0.000 5.064
Li Al Cd
2 1 1
Direct
0.000 0.000 0.000
0.000 0.500 0.325
0.500 0.500 0.829
0.500 0.000 0.504
```

Calculated values
As for the symmetry: No. 25. For the formation energy, the calculation gives -203 meV per atom.

***

Computed, not measured: a PBEsol-optimized structure of NiCl2F at the meta-GGA SCAN level of DFT.

POSCAR file:
```
NiCl2F
1.0
1.670 0.964 7.500
-1.670 0.964 7.500
0.000 -1.929 7.500
Ni Cl F
1 2 1
Direct
0.000 0.000 0.000
0.089 0.089 0.089
0.911 0.911 0.911
0.500 0.500 0.500
```

Calculated values
As for the formation energy (no corrections): 0.05 eV per atom. As for the symmetry: No. 166.

***

Computed, not measured: a PBEsol-optimized structure of AlSiBi2 at the meta-GGA SCAN level of DFT.

POSCAR file:
```
AlSiBi2
1.0
-3.169 3.169 6.548
3.169 -3.169 6.548
3.169 3.169 -6.548
Al Si Bi
2 2 4
Direct
0.000 0.000 0.000
0.750 0.250 0.500
0.250 0.750 0.500
0.500 0.500 0.000
0.128 0.625 0.003
0.375 0.378 0.503
0.622 0.125 0.997
0.875 0.872 0.497
```

Calculated values
As for the formation energy (no corrections): 0.42 eV per atom. As for the symmetry: No. 122.

***

Computed, not measured: a PBEsol-optimized structure of BeZnTeN2 at the meta-GGA SCAN level of DFT.

POSCAR file:
```
BeZnTeN2
1.0
3.586 0.000 0.000
0.000 3.586 0.000
0.000 0.000 5.392
Be Zn Te N
1 1 1 2
Direct
0.000 0.000 0.000
0.500 0.500 0.500
0.000 0.000 0.500
0.000 0.500 0.000
0.500 0.000 0.000
```

Calculated values
As for the formation energy (no corrections): 1.13 eV per atom. As for the symmetry: No. 123.

***

Computed, not measured: a PBEsol-optimized structure of BaAlRu2 at the meta-GGA SCAN level of DFT.

POSCAR file:
```
BaAlRu2
1.0
4.183 -1.534 0.000
4.183 1.534 0.000
-0.819 0.000 6.185
Ba Al Ru
1 1 2
Direct
0.000 0.000 0.000
0.500 0.500 0.500
0.221 0.221 0.657
0.779 0.779 0.343
```

Calculated values
As for the symmetry: No. 12. For the formation energy, the calculation gives 239 meV per atom.

***

Computed, not measured: a PBEsol-optimized structure of In2PtSe at the meta-GGA SCAN level of DFT.

POSCAR file:
```
In2PtSe
1.0
1.907 1.101 6.849
-1.907 1.101 6.849
0.000 -2.202 6.849
In Pt Se
2 1 1
Direct
0.243 0.243 0.243
0.757 0.757 0.757
0.500 0.500 0.500
0.000 0.000 0.000
```

Calculated values
As for the formation energy (no corrections): -0.40 eV per atom. As for the symmetry: No. 166.

***

| no. | total magnetic moment (μB per atom) | mass density (Mg/m³) |
| --- | --- | --- |
| 1 | 0.2244 | 4.408 |
| 2 | 0.0000 | 8.010 |
| 3 | 0.0000 | 7.955 |
| 4 | 0.0000 | 8.232 |
| 5 | 0.0000 | 13.890 |
| 6 | 0.0000 | 2.539 |
| 7 | 0.0004 | 3.775 |
| 8 | 0.7539 | 3.404 |
| 9 | 0.0000 | 5.971 |
| 10 | 0.6858 | 5.510 |
| 11 | 0.0000 | 7.667 |
| 12 | 0.0000 | 9.697 |